# 1
# NbMoPt2W

Crystalline NbMoPt2W at its relaxed geometry (GGA-PBEsol, Alexandria via LeMat-Bulk).

Geometry as POSCAR:
```
NbMoPt2W
1.0
4.721 0.000 0.000
0.000 4.753 0.000
0.000 0.000 4.753
Nb W Mo Pt
1 1 1 2
direct
0.500 0.000 0.000
0.000 0.000 0.000
0.500 0.500 0.500
0.000 0.500 0.000
0.000 0.000 0.500
```

Calculated values
Its crystal system is tetragonal. Its space group is P4/mmm. The formation energy from the elements comes out at 1.720 eV/atom.

# 2
# Co2RuF2

Crystalline Co2RuF2 at its relaxed geometry (GGA-PBEsol, Alexandria via LeMat-Bulk).

Geometry as POSCAR:
```
Co2RuF2
1.0
3.218 0.000 0.000
0.000 3.218 0.000
-1.609 -1.609 5.288
Co F Ru
2 2 1
direct
0.381 0.381 0.763
0.619 0.619 0.237
0.250 0.750 0.500
0.750 0.250 0.500
0.000 0.000 0.000
```

Calculated values
Its crystal system is tetragonal. Its space group is I4/mmm. Its formation energy without anion corrections is -0.322 eV per atom.

# 3
# Li2MgHg

Crystalline Li2MgHg at its relaxed geometry (GGA-PBEsol, Alexandria via LeMat-Bulk).

Geometry as POSCAR:
```
Li2MgHg
1.0
-1.876 0.378 2.602
0.243 -3.536 0.689
5.210 1.060 3.602
Li Mg Hg
2 1 1
direct
0.500 0.500 0.232
0.000 0.000 0.988
0.000 0.000 0.507
0.500 0.500 0.773
```

Calculated values
For the energy above the most stable polymorph in this dataset, the calculation gives 0.073 eV per atom. Its crystal system is orthorhombic. Its space group is Pmm2. The formation energy from the elements comes out at -0.249 eV/atom.

For the records above, the corresponding total DFT energy (no corrections) values read -41.72; -31.11; -7.21 eV for the cell shown.